No. 1
Entry from the Alexandria database: an optimized crystal structure of HfCr (GGA-PBE).

Geometry as extended XYZ:
```
12
Lattice="14.638 0.000 0.000 0.000 3.123 0.000 0.000 0.000 4.534" Properties=species:S:1:pos:R:3 pbc="T T T"
Hf 11.939 0.492 0.000
Hf 4.620 2.631 2.267
Hf 10.018 2.631 2.267
Hf 2.699 0.492 0.000
Hf 0.000 1.992 0.000
Hf 7.319 1.131 2.267
Cr 5.462 1.155 0.000
Cr 12.781 1.968 2.267
Cr 1.857 1.968 2.267
Cr 9.176 1.155 0.000
Cr 0.000 0.405 2.267
Cr 7.319 2.718 0.000
```

Properties
**Space group**: Pmmn (59)
**Total energy**: -115.77 eV for the cell shown
**Crystal system**: orthorhombic
**Formation energy**: 0.141 eV/atom


No. 2
Entry from the Alexandria database: an optimized crystal structure of HfCr5 (GGA-PBE).

Geometry as extended XYZ:
```
6
Lattice="2.966 0.000 0.000 0.000 4.273 0.000 0.000 -2.136 6.210" Properties=species:S:1:pos:R:3 pbc="T T T"
Cr 0.000 2.136 2.117
Cr 0.000 0.000 4.093
Cr 1.483 2.136 0.000
Cr 1.483 0.000 2.228
Cr 1.483 2.136 3.982
Hf 0.000 0.000 0.000
```

Properties
**Space group**: Cmmm (65)
**Total energy**: -57.19 eV for the cell shown
**Crystal system**: orthorhombic
**Formation energy**: 0.148 eV/atom


No. 3
Entry from the Alexandria database: an optimized crystal structure of HfCr (GGA-PBE).

Geometry as extended XYZ:
```
12
Lattice="7.311 0.000 0.000 0.000 7.311 0.000 0.000 0.000 7.311" Properties=species:S:1:pos:R:3 pbc="T T T"
Hf 1.828 3.656 0.000
Hf 5.483 3.656 0.000
Hf 3.656 0.000 1.828
Hf 3.656 0.000 5.483
Hf 0.000 1.828 3.656
Hf 0.000 5.483 3.656
Cr 1.828 0.000 3.656
Cr 5.483 0.000 3.656
Cr 0.000 3.656 1.828
Cr 0.000 3.656 5.483
Cr 3.656 1.828 0.000
Cr 3.656 5.483 0.000
```

Properties
**Space group**: Pm-3n (223)
**Total energy**: -89.53 eV for the cell shown
**Crystal system**: cubic
**Formation energy**: 2.327 eV/atom


No. 4
Entry from the Alexandria database: an optimized crystal structure of Hf2Cr (GGA-PBE).

Geometry as extended XYZ:
```
12
Lattice="6.324 0.000 0.002 0.000 4.603 0.000 -6.235 0.000 7.800" Properties=species:S:1:pos:R:3 pbc="T T T"
Cr 5.212 0.000 0.034
Cr -5.123 0.000 7.768
Cr 2.094 2.302 3.934
Cr -2.005 2.302 3.868
Hf -0.742 0.000 2.673
Hf 0.831 0.000 5.129
Hf -3.860 2.302 6.573
Hf 3.949 2.302 1.229
Hf -2.429 0.000 5.296
Hf 2.518 0.000 2.507
Hf 0.688 2.302 1.396
Hf -0.599 2.302 6.407
```

Properties
**Space group**: C2/m (12)
**Total energy**: -116.22 eV for the cell shown
**Crystal system**: monoclinic
**Formation energy**: 0.158 eV/atom


Please write out number 3 again, unchanged.
Entry from the Alexandria database: an optimized crystal structure of HfCr (GGA-PBE).

Geometry as extended XYZ:
```
12
Lattice="7.311 0.000 0.000 0.000 7.311 0.000 0.000 0.000 7.311" Properties=species:S:1:pos:R:3 pbc="T T T"
Hf 1.828 3.656 0.000
Hf 5.483 3.656 0.000
Hf 3.656 0.000 1.828
Hf 3.656 0.000 5.483
Hf 0.000 1.828 3.656
Hf 0.000 5.483 3.656
Cr 1.828 0.000 3.656
Cr 5.483 0.000 3.656
Cr 0.000 3.656 1.828
Cr 0.000 3.656 5.483
Cr 3.656 1.828 0.000
Cr 3.656 5.483 0.000
```

Properties
**Space group**: Pm-3n (223)
**Total energy**: -89.53 eV for the cell shown
**Crystal system**: cubic
**Formation energy**: 2.327 eV/atom